DFT (GGA-PBE) results for an optimized crystal structure of FePt2Rh.

Cell lengths 2.735, 3.864, 5.507 Å; angles 90.00, 90.00, 90.00 degrees
Atoms (fractional coordinates):
Fe 0.000 0.000 0.000
Pt 0.500 0.500 0.246
Pt 0.500 0.500 0.754
Rh 0.000 0.000 0.500

ΔE_f = -0.521 eV per formula unit